Here is a relaxed structure of Zn13Cu2 from Alexandria via LeMat-Bulk. Energies are from GGA-PBE.

a = 7.116 Å, b = 7.116 Å, c = 7.456 Å
α = 61.50°, β = 61.50°, γ = 60.00°
Positions (direct):
1 Zn 0.500 0.500 0.500
2 Zn 0.481 0.862 0.176
3 Zn 0.481 0.481 0.176
4 Zn 0.862 0.481 0.176
5 Zn 0.138 0.519 0.824
6 Zn 0.519 0.138 0.824
7 Zn 0.519 0.519 0.824
8 Zn 0.261 0.905 0.573
9 Zn 0.261 0.261 0.573
10 Zn 0.905 0.261 0.573
11 Zn 0.095 0.739 0.427
12 Zn 0.739 0.095 0.427
13 Zn 0.739 0.739 0.427
14 Cu 0.272 0.272 0.183
15 Cu 0.728 0.728 0.817

As for the crystal system: trigonal. The calculation puts the energy of formation at 0.16 eV/atom. The calculated volume is 18.2 Å³ per atom. The density comes out at 5.95 g/cm3.